1.
KPd3S | PBE | relaxed

Output
* SG: Pm-3m
* offset from the most stable computed form: 0.00 eV per formula unit
* crystal system: cubic

```
data_KPd3S
_space_group_name_H-M_alt 'P 1'
_space_group_IT_number 1
_cell_length_a 4.666
_cell_length_b 4.666
_cell_length_c 4.666
_cell_angle_alpha 90.00
_cell_angle_beta 90.00
_cell_angle_gamma 90.00
loop_
_space_group_symop_operation_xyz
'x,y,z'
loop_
_atom_site_label
_atom_site_type_symbol
_atom_site_fract_x
_atom_site_fract_y
_atom_site_fract_z
K1 K 0.000 0.000 0.000
Pd1 Pd 0.000 0.500 0.500
Pd2 Pd 0.500 0.000 0.500
Pd3 Pd 0.500 0.500 0.000
S1 S 0.500 0.500 0.500
```


2.
PaAl2Pd | PBE | relaxed

Output
* E_form: -33 kJ/mol of atoms
* SG: Amm2
* crystal system: orthorhombic

```
data_PaAl2Pd
_space_group_name_H-M_alt 'P 1'
_space_group_IT_number 1
_cell_length_a 4.382
_cell_length_b 7.093
_cell_length_c 5.257
_cell_angle_alpha 90.00
_cell_angle_beta 90.00
_cell_angle_gamma 90.00
loop_
_space_group_symop_operation_xyz
'x,y,z'
loop_
_atom_site_label
_atom_site_type_symbol
_atom_site_fract_x
_atom_site_fract_y
_atom_site_fract_z
Pa1 Pa 0.000 0.000 0.000
Pa2 Pa 0.000 0.500 0.500
Al1 Al 0.500 0.190 0.514
Al2 Al 0.500 0.310 0.014
Al3 Al 0.500 0.690 0.014
Al4 Al 0.500 0.810 0.514
Pd1 Pd 0.000 0.000 0.499
Pd2 Pd 0.000 0.500 0.999
```


3.
AlHgPd2 | PBE | relaxed

Output
* E_form: -57 kJ/mol of atoms
* SG: P4/mmm
* crystal system: tetragonal

```
data_AlHgPd2
_space_group_name_H-M_alt 'P 1'
_space_group_IT_number 1
_cell_length_a 3.026
_cell_length_b 3.026
_cell_length_c 7.143
_cell_angle_alpha 90.00
_cell_angle_beta 90.00
_cell_angle_gamma 90.00
loop_
_space_group_symop_operation_xyz
'x,y,z'
loop_
_atom_site_label
_atom_site_type_symbol
_atom_site_fract_x
_atom_site_fract_y
_atom_site_fract_z
Al1 Al 0.000 0.000 0.000
Hg1 Hg 0.000 0.000 0.500
Pd1 Pd 0.500 0.500 0.208
Pd2 Pd 0.500 0.500 0.792
```


4.
HfMg3Zn | PBE | relaxed

Output
* E_form: 125 kJ/mol of atoms
* SG: Pm-3m
* offset from the most stable computed form: 3.78 eV per formula unit
* crystal system: cubic

```
data_HfMg3Zn
_space_group_name_H-M_alt 'P 1'
_space_group_IT_number 1
_cell_length_a 5.740
_cell_length_b 5.740
_cell_length_c 5.740
_cell_angle_alpha 90.00
_cell_angle_beta 90.00
_cell_angle_gamma 90.00
loop_
_space_group_symop_operation_xyz
'x,y,z'
loop_
_atom_site_label
_atom_site_type_symbol
_atom_site_fract_x
_atom_site_fract_y
_atom_site_fract_z
Hf1 Hf 0.000 0.000 0.000
Mg1 Mg 0.000 0.000 0.500
Mg2 Mg 0.000 0.500 0.000
Mg3 Mg 0.500 0.000 0.000
Zn1 Zn 0.500 0.500 0.500
```